# Sr3Th2UAs6 PBE-GGA optimized geometry
data_Sr3Th2UAs6
_cell_length_a 7.4938
_cell_length_b 7.4938
_cell_length_c 7.5914
_cell_angle_alpha 99.48
_cell_angle_beta 99.48
_cell_angle_gamma 120.00
_symmetry_space_group_name_H-M 'P 1'
_symmetry_Int_Tables_number 1
loop_
_symmetry_equiv_pos_as_xyz
'x,y,z'
loop_
_atom_site_label
_atom_site_type_symbol
_atom_site_fract_x
_atom_site_fract_y
_atom_site_fract_z
Th1 Th 0.3336 0.6664 0.0000
As1 As 0.3986 0.0742 0.2230
U1 U 0.0000 0.0000 0.0000
As2 As 0.6014 0.9258 0.7770
Sr1 Sr 0.5000 0.5000 0.5000
As3 As 0.9258 0.6014 0.7770
Th2 Th 0.6664 0.3336 0.0000
As4 As 0.7506 0.7506 0.2228
As5 As 0.2494 0.2494 0.7772
As6 As 0.0742 0.3986 0.2230
Sr2 Sr 0.8317 0.1683 0.5000
Sr3 Sr 0.1683 0.8317 0.5000
# * total moment: 1.87 Bohr magnetons per cell
# * formation energy from the elements: -1.2163 eV/atom
# * space group: C2/m, No. 12